Record 1
DFT (SCAN) results for MnAlPt2 at its PBEsol-relaxed geometry.

Lattice parameters (Å, degrees): 4.325 4.325 4.325 60.00 60.00 60.00
Element x y z (fractional)
Mn: 0.000 0.000 0.000
Al: 0.500 0.500 0.500
Pt: 0.250 0.250 0.250
Pt: 0.750 0.750 0.750

total DFT energy (no corrections)	-3.132	Ry/atom
formation energy	-1014	meV/atom
magnetization	1.11	μB/atom
symmetry	Fm-3m, No. 225

---

Record 2
DFT (SCAN) results for MgMnP2 at its PBEsol-relaxed geometry.

Lattice parameters (Å, degrees): 4.362 4.362 4.362 60.00 60.00 60.00
Element x y z (fractional)
Mg: 0.000 0.000 0.000
Mn: 0.250 0.250 0.250
P: 0.500 0.500 0.500
P: 0.750 0.750 0.750

total DFT energy (no corrections)	-0.789	Ry/atom
formation energy	268	meV/atom
magnetization	0.91	μB/atom
symmetry	F-43m, No. 216

---

Record 3
DFT (SCAN) results for KY4Cl at its PBEsol-relaxed geometry.

Lattice parameters (Å, degrees): 6.748 6.748 6.748 60.00 60.00 60.00
Element x y z (fractional)
K: 0.000 0.000 0.000
Y: 0.123 0.626 0.626
Y: 0.626 0.123 0.626
Y: 0.626 0.626 0.123
Y: 0.626 0.626 0.626
Cl: 0.250 0.250 0.250

total DFT energy (no corrections)	-1.529	Ry/atom
raw formation energy	2.8	eV/f.u.
magnetization	0.00	μB/atom
symmetry	F-43m, No. 216

---

Record 4
DFT (SCAN) results for Tl2AgCl at its PBEsol-relaxed geometry.

Lattice parameters (Å, degrees): 5.179 5.179 5.179 60.00 60.00 60.00
Element x y z (fractional)
Tl: 0.000 0.000 0.000
Tl: 0.250 0.250 0.250
Ag: 0.750 0.750 0.750
Cl: 0.500 0.500 0.500

total DFT energy (no corrections)	-3.388	Ry/atom
raw formation energy	-0.3	eV/f.u.
magnetization	0.00	μB/atom
E above lowest polymorph	184	meV/atom
symmetry	F-43m, No. 216

---

Record 5
DFT (SCAN) results for IrPdS3 at its PBEsol-relaxed geometry.

Lattice parameters (Å, degrees): 4.500 4.500 4.500 90.00 90.00 90.00
Element x y z (fractional)
Ir: 0.000 0.000 0.000
Pd: 0.500 0.500 0.500
S: 0.000 0.500 0.500
S: 0.500 0.000 0.500
S: 0.500 0.500 0.000

total DFT energy (no corrections)	-1.850	Ry/atom
raw formation energy	6.9	eV/f.u.
magnetization	0.12	μB/atom
symmetry	Pm-3m, No. 221

---

Record 6
DFT (SCAN) results for LiMo2Cl at its PBEsol-relaxed geometry.

Lattice parameters (Å, degrees): 2.878 4.657 4.904 90.00 90.00 90.00
Element x y z (fractional)
Li: 0.000 0.000 0.000
Mo: 0.500 0.500 0.216
Mo: 0.500 0.500 0.784
Cl: 0.000 0.000 0.500

total DFT energy (no corrections)	-1.425	Ry/atom
raw formation energy	2.6	eV/f.u.
magnetization	0.00	μB/atom
E above lowest polymorph	636	meV/atom
symmetry	Pmmm, No. 47

---

Record 7
DFT (SCAN) results for TaCoSi2 at its PBEsol-relaxed geometry.

Lattice parameters (Å, degrees): 4.205 4.205 2.966 90.00 90.00 90.00
Element x y z (fractional)
Ta: 0.000 0.000 0.000
Co: 0.500 0.500 0.000
Si: 0.000 0.500 0.500
Si: 0.500 0.000 0.500

total DFT energy (no corrections)	-1.915	Ry/atom
raw formation energy	-0.3	eV/f.u.
magnetization	0.00	μB/atom
symmetry	P4/mmm, No. 123

---

Record 8
DFT (SCAN) results for SnP2SCl at its PBEsol-relaxed geometry.

Lattice parameters (Å, degrees): 4.673 4.673 4.558 90.00 90.00 90.00
Element x y z (fractional)
Sn: 0.000 0.000 0.000
P: 0.000 0.500 0.500
P: 0.500 0.000 0.500
S: 0.500 0.500 0.000
Cl: 0.500 0.500 0.500

total DFT energy (no corrections)	-1.008	Ry/atom
raw formation energy	5.7	eV/f.u.
magnetization	0.00	μB/atom
symmetry	P4/mmm, No. 123

---

Please write out number 2 again, unchanged.
DFT (SCAN) results for MgMnP2 at its PBEsol-relaxed geometry.

Lattice parameters (Å, degrees): 4.362 4.362 4.362 60.00 60.00 60.00
Element x y z (fractional)
Mg: 0.000 0.000 0.000
Mn: 0.250 0.250 0.250
P: 0.500 0.500 0.500
P: 0.750 0.750 0.750

total DFT energy (no corrections)	-0.789	Ry/atom
formation energy	268	meV/atom
magnetization	0.91	μB/atom
symmetry	F-43m, No. 216

---

> Number 2 is which compound?

MgMnP2

---

Repeat the sixth record exactly.
DFT (SCAN) results for LiMo2Cl at its PBEsol-relaxed geometry.

Lattice parameters (Å, degrees): 2.878 4.657 4.904 90.00 90.00 90.00
Element x y z (fractional)
Li: 0.000 0.000 0.000
Mo: 0.500 0.500 0.216
Mo: 0.500 0.500 0.784
Cl: 0.000 0.000 0.500

total DFT energy (no corrections)	-1.425	Ry/atom
raw formation energy	2.6	eV/f.u.
magnetization	0.00	μB/atom
E above lowest polymorph	636	meV/atom
symmetry	Pmmm, No. 47